KCd3Cl: PBEsol geometry, SCAN.

a = 6.311 Å, b = 6.311 Å, c = 6.311 Å
α = 90.00°, β = 90.00°, γ = 90.00°
Site moments in Bohr magnetons follow the coordinates.
Element x y z (fractional)
1 Cd 0.500 0.000 0.000  0.00
2 Cd 0.000 0.500 0.000  0.00
3 Cd 0.000 0.000 0.500  0.00
4 Cl 0.500 0.500 0.500  0.10
5 K 0.000 0.000 0.000  0.00

formation energy from raw total energies = 22.54 kJ per mole of atoms
calculated density = 2.7 g/cm³
space-group type = Pm-3m
calculated volume = 50.28 Å³ per atom
magnetization = 0.14 μB/cell